(A)
Here is a relaxed structure of LiMgIN2 from Alexandria via LeMat-Bulk. Energies are from PBE.

a b c (Å): 4.201 4.201 5.202
angles (deg): 90.00 90.00 90.00
Positions (direct):
Li  0.000  0.000  0.000
Mg  0.500  0.500  0.500
I  0.000  0.000  0.500
N  0.000  0.500  0.000
N  0.500  0.000  0.000

**Theoretical density**: 3.4 Mg/m³
**Crystal system**: tetragonal
**Volume**: 91.8 Å³ per cell

---

(B)
Here is a relaxed structure of LiMgIN2 from Alexandria via LeMat-Bulk. Energies are from PBE.

a b c (Å): 4.225 4.225 6.250
angles (deg): 90.00 90.00 90.00
Positions (direct):
Li  0.000  0.000  0.000
Mg  0.500  0.500  0.500
I  0.500  0.500  0.000
N  0.000  0.500  0.500
N  0.500  0.000  0.500

**Theoretical density**: 2.8 Mg/m³
**Crystal system**: tetragonal
**Volume**: 111.6 Å³ per cell

---

Least stable structure: (A)